# 1
First-principles (PBE) data for crystalline Ce2ZrTl3Se6 at its relaxed geometry, as listed in the Alexandria database.

Cell lengths 7.2315, 7.2315, 8.1992 Å; angles 98.46, 98.46, 119.96 degrees
With the nearest neighbours (Å) after each atom.
Positions (direct):
Zr 0.0000 0.0000 0.0000  6 Se 2.78-2.80
Se 0.0681 0.3822 0.2049  1 Zr 2.78, 2 Ce 2.96
Se 0.9319 0.6178 0.7951  1 Zr 2.78, 2 Ce 2.96
Se 0.3822 0.0681 0.2049  1 Zr 2.78, 2 Ce 2.96
Se 0.7566 0.7566 0.2101  1 Zr 2.80, 2 Ce 2.97
Tl 0.8299 0.1701 0.5000  6 Se 3.29-3.41
Se 0.6178 0.9319 0.7951  1 Zr 2.78, 2 Ce 2.96
Se 0.2434 0.2434 0.7899  1 Zr 2.80, 2 Ce 2.97
Ce 0.3342 0.6658 0.0000  6 Se 2.96-2.97
Tl 0.5000 0.5000 0.5000  6 Se 3.29-3.42
Tl 0.1701 0.8299 0.5000  6 Se 3.29-3.41
Ce 0.6658 0.3342 0.0000  6 Se 2.96-2.97

Output
* ΔE_f (raw): -1189 meV/atom
* Fermi-level density of states: 15.5 states/eV/f.u.
* VASP energy: -5.22 eV per atom


# 2
First-principles (PBE) data for crystalline Pa2TlCl8 at its relaxed geometry, as listed in the Alexandria database.

Cell lengths 9.2263, 7.5656, 7.5656 Å; angles 106.22, 93.66, 93.66 degrees
With the nearest neighbours (Å) after each atom.
Positions (direct):
Tl 0.0000 0.0000 0.0000  2 Pa 3.32, 4 Cl 3.55
Pa 0.6541 0.8547 0.8547  5 Cl 2.53-2.82
Cl 0.2717 0.4051 0.4051  1 Pa 2.53
Cl 0.7285 0.6931 0.0947  1 Pa 2.54
Pa 0.3459 0.1453 0.1453  5 Cl 2.53-2.82
Cl 0.6382 0.1629 0.1629  2 Pa 2.68-2.82
Cl 0.7283 0.5949 0.5949  1 Pa 2.53
Cl 0.7285 0.0947 0.6931  1 Pa 2.54
Cl 0.3618 0.8371 0.8371  2 Pa 2.68-2.82
Cl 0.2715 0.3069 0.9053  1 Pa 2.54
Cl 0.2715 0.9053 0.3069  1 Pa 2.54

Output
* ΔE_f (raw): -1538 meV/atom
* Fermi-level density of states: 4.5 states/eV/f.u.
* VASP energy: -4.82 eV per atom


# 3
First-principles (PBE) data for crystalline LiTiB at its relaxed geometry, as listed in the Alexandria database.

Cell lengths 2.9923, 6.7012, 4.5532 Å; angles 61.63, 90.04, 77.16 degrees
With the nearest neighbours (Å) after each atom.
Positions (direct):
B 0.4759 0.6184 0.1517  2 B 1.66
Li 0.4094 0.7511 0.6003  1 B 2.22
B 0.0200 0.5298 0.1029  2 B 1.66
Ti 0.8263 0.9188 0.9788  3 B 2.28-2.32
Ti 0.6696 0.2293 0.2757  3 B 2.28-2.32
Li 0.0864 0.3969 0.6543  1 B 2.22

Output
* Fermi-level density of states: 2.1 states/eV/f.u.
* energy of formation: -0.095 eV per atom
* VASP energy: -5.59 eV per atom


# 4
First-principles (PBE) data for crystalline BeMoBr at its relaxed geometry, as listed in the Alexandria database.

Cell lengths 4.4122, 4.4122, 2.8291 Å; angles 90.00, 90.00, 120.00 degrees
With the nearest neighbours (Å) after each atom.
Positions (direct):
Br 0.6667 0.3333 0.4993  3 Mo 2.55, 2 Br 2.83
Be 0.0000 0.0000 0.0010  2 Be 2.83, 6 Br 2.91-2.92, 6 Mo 2.91-2.92
Mo 0.3333 0.6667 0.4996  3 Br 2.55, 2 Mo 2.83

Output
* ΔE_f (raw): 954 meV/atom
* Fermi-level density of states: 1.6 states/eV/f.u.
* VASP energy: -4.46 eV per atom